(1)
Material: NbCrN3
Method: DFT, SCAN
State: PBEsol geometry

DOS at the Fermi energy	2.62	states/eV/cell
ΔE_f (raw)	18.7	kJ/mol of atoms
size of the total moment	1.55	μB/cell

Geometry as POSCAR:
```
NbCrN3
1.0
3.6368 0.0000 0.0000
0.0000 3.6368 0.0000
0.0000 0.0000 3.6368
N Cr Nb
3 1 1
Direct
0.0000 0.0000 0.5000
0.0000 0.5000 0.0000
0.5000 0.0000 0.0000
0.0000 0.0000 0.0000
0.5000 0.5000 0.5000
```

***

(2)
Material: ZnGeOs3
Method: DFT, SCAN
State: PBEsol geometry

DOS at the Fermi energy	4.80	states/eV/cell
E_form	2.241	eV per atom
size of the total moment	2.02	μB/cell

Geometry as POSCAR:
```
ZnGeOs3
1.0
-1.1723 1.7860 -3.8892
-4.1843 -1.3250 0.6529
-0.8985 3.8399 2.0342
Zn Os Ge
1 3 1
Direct
0.0000 0.0000 0.0000
0.5000 0.0000 0.0000
0.0000 0.5000 0.0000
0.0000 0.0000 0.5000
0.5000 0.5000 0.5000
```

***

(3)
Material: Ga2Cu2Ag
Method: DFT, SCAN
State: PBEsol geometry

DOS at the Fermi energy	1.20	states/eV/cell
E_form	0.110	eV per atom
ΔE to the lowest computed polymorph	0.60	eV/f.u.
size of the total moment	0.00	μB/cell

Geometry as POSCAR:
```
Ga2Cu2Ag
1.0
3.4786 0.0000 0.0000
0.0000 3.4786 0.0000
-1.7393 -1.7393 6.2034
Ga Cu Ag
2 2 1
Direct
0.6036 0.6036 0.2073
0.3964 0.3964 0.7927
0.7500 0.2500 0.5000
0.2500 0.7500 0.5000
0.0000 0.0000 0.0000
```

***

(4)
Material: TlCd2Ge2
Method: DFT, SCAN
State: PBEsol geometry

DOS at the Fermi energy	1.31	states/eV/cell
E_form	0.100	eV per atom
ΔE to the lowest computed polymorph	0.00	eV/f.u.
size of the total moment	0.00	μB/cell

Geometry as POSCAR:
```
TlCd2Ge2
1.0
-4.4925 -0.0117 0.7656
-0.3065 -4.1481 -1.8623
3.2602 -0.2352 5.5635
Ge Cd Tl
2 2 1
Direct
0.3912 0.3912 0.7823
0.6088 0.6088 0.2177
0.2500 0.7500 0.5000
0.7500 0.2500 0.5000
0.0000 0.0000 0.0000
```